## LiPaB2O6 (GGA-PBE)

Data for a geometry-optimized LiPaB2O6 structure.

POSCAR file:
```
LiPaB2O6
1.0
4.633 -4.469 0.000
4.633 4.469 0.000
-1.183 0.000 4.640
Li Pa B O
2 2 4 12
Direct
0.068 0.932 0.750
0.932 0.068 0.250
0.300 0.700 0.250
0.700 0.300 0.750
0.198 0.367 0.722
0.367 0.198 0.222
0.633 0.802 0.778
0.802 0.633 0.278
0.023 0.227 0.654
0.142 0.586 0.836
0.227 0.023 0.154
0.311 0.376 0.470
0.376 0.311 0.970
0.414 0.858 0.664
0.586 0.142 0.336
0.624 0.689 0.030
0.689 0.624 0.530
0.773 0.977 0.846
0.858 0.414 0.164
0.977 0.773 0.346
```

Its space group is C2/c, No. 15. For the total moment, the calculation gives 0.0 μB per formula unit. The calculation puts the uncorrected formation energy at -2.737 eV per atom.

## Tb4Sm9Dy11 (GGA-PBE)

Data for a geometry-optimized Tb4Sm9Dy11 structure.

POSCAR file:
```
Tb4Sm9Dy11
1.0
8.376 -12.702 0.000
8.376 12.702 0.000
0.000 0.000 3.696
Tb Sm Dy
4 9 11
Direct
0.055 0.256 0.000
0.256 0.055 0.000
0.744 0.945 0.000
0.945 0.744 0.000
0.000 0.000 0.000
0.131 0.663 0.000
0.287 0.434 0.000
0.337 0.869 0.000
0.434 0.287 0.000
0.566 0.713 0.000
0.663 0.131 0.000
0.713 0.566 0.000
0.869 0.337 0.000
0.094 0.455 0.500
0.133 0.867 0.500
0.210 0.210 0.500
0.339 0.661 0.500
0.455 0.094 0.500
0.500 0.500 0.500
0.545 0.906 0.500
0.661 0.339 0.500
0.790 0.790 0.500
0.867 0.133 0.500
0.906 0.545 0.500
```

Its space group is Cmmm, No. 65. For the total moment, the calculation gives 0.0 μB per formula unit. The calculation puts the calculated formation energy at 0.052 eV/atom.

## LiZnC2S (GGA-PBE)

Data for a geometry-optimized LiZnC2S structure.

POSCAR file:
```
LiZnC2S
1.0
3.680 0.000 0.000
0.000 3.680 0.000
0.000 0.000 4.723
Li Zn C S
1 1 2 1
Direct
0.000 0.000 0.000
0.500 0.500 0.500
0.000 0.500 0.000
0.500 0.000 0.000
0.000 0.000 0.500
```

Its space group is P4/mmm, No. 123. For the total moment, the calculation gives 0.0 μB per formula unit. The calculation puts the uncorrected formation energy at 2.056 eV per atom.

## Hf2CuOs (GGA-PBE)

Data for a geometry-optimized Hf2CuOs structure.

POSCAR file:
```
Hf2CuOs
1.0
7.244 0.000 0.000
0.000 7.244 0.000
0.000 0.000 5.628
Hf Cu Os
8 4 4
Direct
0.242 0.250 0.125
0.250 0.742 0.375
0.250 0.758 0.875
0.258 0.250 0.625
0.742 0.750 0.625
0.750 0.242 0.875
0.750 0.258 0.375
0.758 0.750 0.125
0.000 0.000 0.500
0.000 0.500 0.750
0.500 0.000 0.250
0.500 0.500 0.000
0.000 0.000 0.000
0.000 0.500 0.250
0.500 0.000 0.750
0.500 0.500 0.500
```

For the relative energy among the computed polymorphs, the calculation gives 14.72 kcal/mol of atoms. Its space group is I-42d, No. 122. For the total moment, the calculation gives 0.0 μB per formula unit. The calculation puts the calculated formation energy at 0.210 eV/atom.

## CaAcTlCl6 (GGA-PBE)

Data for a geometry-optimized CaAcTlCl6 structure.

POSCAR file:
```
CaAcTlCl6
1.0
7.469 0.000 0.000
-3.734 6.468 0.000
0.000 0.000 13.515
Ca Ac Tl Cl
2 2 2 12
Direct
0.333 0.667 0.250
0.667 0.333 0.750
0.333 0.667 0.750
0.667 0.333 0.250
0.000 0.000 0.000
0.000 0.000 0.500
0.013 0.373 0.136
0.013 0.640 0.364
0.360 0.373 0.364
0.360 0.987 0.136
0.373 0.013 0.636
0.373 0.360 0.864
0.627 0.640 0.136
0.627 0.987 0.364
0.640 0.013 0.864
0.640 0.627 0.636
0.987 0.360 0.636
0.987 0.627 0.864
```

Its space group is P-31c, No. 163. For the total moment, the calculation gives 0.0 μB per formula unit. The calculation puts the uncorrected formation energy at -2.105 eV per atom.

## CoSb2Pb (GGA-PBE)

Data for a geometry-optimized CoSb2Pb structure.

POSCAR file:
```
CoSb2Pb
1.0
3.198 0.000 0.000
0.000 3.733 0.000
0.000 0.000 16.345
Co Sb Pb
2 4 2
Direct
0.000 0.000 0.000
0.500 0.500 0.500
0.000 0.000 0.555
0.000 0.500 0.377
0.500 0.000 0.877
0.500 0.500 0.055
0.000 0.500 0.721
0.500 0.000 0.221
```

Its space group is Imm2, No. 44. For the total moment, the calculation gives 0.0 μB per formula unit. The calculation puts the uncorrected formation energy at 0.128 eV per atom.

## SrNb2InRu (GGA-PBE)

Data for a geometry-optimized SrNb2InRu structure.

POSCAR file:
```
SrNb2InRu
1.0
4.980 0.000 0.000
0.000 4.980 0.000
0.000 0.000 4.810
Sr Nb In Ru
1 2 1 1
Direct
0.000 0.000 0.000
0.000 0.500 0.000
0.500 0.000 0.000
0.500 0.500 0.500
0.000 0.000 0.500
```

Its space group is P4/mmm, No. 123. For the total moment, the calculation gives 0.0 μB per formula unit. The calculation puts the calculated formation energy at 2.289 eV/atom.

## Er2PBr (GGA-PBE)

Data for a geometry-optimized Er2PBr structure.

POSCAR file:
```
Er2PBr
1.0
3.956 0.000 0.000
-1.978 3.426 0.000
0.000 0.000 21.266
Er P Br
6 3 3
Direct
0.000 0.000 0.000
0.000 0.000 0.201
0.333 0.667 0.667
0.333 0.667 0.868
0.667 0.333 0.333
0.667 0.333 0.534
0.000 0.000 0.599
0.333 0.667 0.265
0.667 0.333 0.932
0.000 0.000 0.769
0.333 0.667 0.436
0.667 0.333 0.102
```

Its space group is R3m, No. 160. For the total moment, the calculation gives 0.0 μB per formula unit. The calculation puts the uncorrected formation energy at -1.377 eV per atom.

## La6Tc2RhBr3 (GGA-PBE)

Data for a geometry-optimized La6Tc2RhBr3 structure.

POSCAR file:
```
La6Tc2RhBr3
1.0
9.730 -2.157 0.000
9.730 2.157 0.000
-3.525 0.000 8.264
La Tc Rh Br
6 2 1 3
Direct
0.002 0.002 0.288
0.320 0.320 0.666
0.337 0.337 0.274
0.663 0.663 0.726
0.680 0.680 0.334
0.998 0.998 0.712
0.140 0.140 0.526
0.860 0.860 0.474
0.500 0.500 0.500
0.167 0.167 0.029
0.500 0.500 0.000
0.833 0.833 0.971
```

Its space group is C2/m, No. 12. For the total moment, the calculation gives 0.0 μB per formula unit. The calculation puts the uncorrected formation energy at -0.804 eV per atom.

## NaIn2Pt2 (GGA-PBE)

Data for a geometry-optimized NaIn2Pt2 structure.

POSCAR file:
```
NaIn2Pt2
1.0
8.189 0.000 0.000
0.000 8.189 0.000
0.000 0.000 2.952
Na In Pt
2 4 4
Direct
0.000 0.000 0.000
0.500 0.500 0.000
0.137 0.363 0.000
0.363 0.863 0.000
0.637 0.137 0.000
0.863 0.637 0.000
0.161 0.661 0.500
0.339 0.161 0.500
0.661 0.839 0.500
0.839 0.339 0.500
```

For the relative energy among the computed polymorphs, the calculation gives 0.18 kcal/mol of atoms. Its space group is P4/mbm, No. 127. For the total moment, the calculation gives 0.0 μB per formula unit. The calculation puts the calculated formation energy at -0.458 eV/atom.

## Sr2AlCo (GGA-PBE)

Data for a geometry-optimized Sr2AlCo structure.

POSCAR file:
```
Sr2AlCo
1.0
3.923 0.000 0.000
-1.961 3.397 0.000
0.000 0.000 27.661
Sr Al Co
6 3 3
Direct
0.000 0.000 0.239
0.000 0.000 0.761
0.333 0.667 0.427
0.333 0.667 0.906
0.667 0.333 0.094
0.667 0.333 0.573
0.000 0.000 0.000
0.333 0.667 0.667
0.667 0.333 0.333
0.000 0.000 0.500
0.333 0.667 0.167
0.667 0.333 0.833
```

Its space group is R-3m, No. 166. For the total moment, the calculation gives 1.3 μB per formula unit. The calculation puts the calculated formation energy at 0.500 eV/atom.

## Fe2Co9N8 (GGA-PBE)

Data for a geometry-optimized Fe2Co9N8 structure.

POSCAR file:
```
Fe2Co9N8
1.0
8.501 -1.878 0.000
8.501 1.878 0.000
-1.998 0.000 5.658
Fe Co N
2 9 8
Direct
0.177 0.177 0.138
0.823 0.823 0.862
0.015 0.015 0.777
0.194 0.194 0.575
0.347 0.347 0.203
0.426 0.426 0.846
0.500 0.500 0.500
0.574 0.574 0.154
0.653 0.653 0.797
0.806 0.806 0.425
0.985 0.985 0.223
0.101 0.101 0.286
0.139 0.139 0.818
0.274 0.274 0.374
0.462 0.462 0.181
0.538 0.538 0.819
0.726 0.726 0.626
0.861 0.861 0.182
0.899 0.899 0.714
```

Its space group is C2/m, No. 12. For the total moment, the calculation gives 0.5 μB per formula unit. The calculation puts the uncorrected formation energy at 0.270 eV per atom.

## Mg3GeI (GGA-PBE)

Data for a geometry-optimized Mg3GeI structure.

POSCAR file:
```
Mg3GeI
1.0
5.528 0.000 0.000
0.000 5.528 0.000
0.000 0.000 5.528
Mg Ge I
3 1 1
Direct
0.000 0.000 0.500
0.000 0.500 0.000
0.500 0.000 0.000
0.500 0.500 0.500
0.000 0.000 0.000
```

For the relative energy among the computed polymorphs, the calculation gives 20.61 kcal/mol of atoms. Its space group is Pm-3m, No. 221. For the total moment, the calculation gives 0.0 μB per formula unit. The calculation puts the uncorrected formation energy at 0.751 eV per atom.

## BaSbAuSe3 (GGA-PBE)

Data for a geometry-optimized BaSbAuSe3 structure.

POSCAR file:
```
BaSbAuSe3
1.0
8.710 0.000 0.000
0.000 4.291 0.000
-2.338 0.000 9.267
Ba Sb Au Se
2 2 2 6
Direct
0.190 0.250 0.255
0.810 0.750 0.745
0.329 0.750 0.851
0.671 0.250 0.149
0.089 0.250 0.586
0.911 0.750 0.414
0.110 0.250 0.879
0.257 0.750 0.528
0.442 0.750 0.153
0.558 0.250 0.847
0.743 0.250 0.472
0.890 0.750 0.121
```

Its space group is P2_1/m, No. 11. For the total moment, the calculation gives 0.0 μB per formula unit. The calculation puts the uncorrected formation energy at -0.752 eV per atom.

## Th2HSe3 (GGA-PBE)

Data for a geometry-optimized Th2HSe3 structure.

POSCAR file:
```
Th2HSe3
1.0
11.378 0.000 0.000
0.000 4.027 0.000
0.000 0.000 11.665
Th H Se
8 4 12
Direct
0.032 0.250 0.184
0.197 0.250 0.517
0.303 0.750 0.017
0.468 0.750 0.684
0.532 0.250 0.316
0.697 0.250 0.983
0.803 0.750 0.483
0.968 0.750 0.816
0.126 0.750 0.125
0.374 0.250 0.625
0.626 0.750 0.375
0.874 0.250 0.875
0.056 0.750 0.377
0.122 0.250 0.941
0.208 0.750 0.704
0.292 0.250 0.204
0.378 0.750 0.441
0.444 0.250 0.877
0.556 0.750 0.123
0.622 0.250 0.559
0.708 0.750 0.796
0.792 0.250 0.296
0.878 0.750 0.059
0.944 0.250 0.623
```

For the relative energy among the computed polymorphs, the calculation gives 0.00 kcal/mol of atoms. Its space group is Pnma, No. 62. For the total moment, the calculation gives 0.0 μB per formula unit.

## HfMgRu3 (GGA-PBE)

Data for a geometry-optimized HfMgRu3 structure.

POSCAR file:
```
HfMgRu3
1.0
4.436 0.000 0.000
0.000 4.436 0.000
0.000 0.000 4.436
Hf Mg Ru
1 1 3
Direct
0.000 0.000 0.000
0.500 0.500 0.500
0.000 0.500 0.500
0.500 0.000 0.500
0.500 0.500 0.000
```

For the relative energy among the computed polymorphs, the calculation gives 0.00 kcal/mol of atoms. Its space group is Pm-3m, No. 221. For the total moment, the calculation gives 0.0 μB per formula unit. The calculation puts the calculated formation energy at 1.034 eV/atom.

## TbTcB14 (GGA-PBE)

Data for a geometry-optimized TbTcB14 structure.

POSCAR file:
```
TbTcB14
1.0
-2.942 5.400 4.116
2.942 -5.400 4.116
2.942 5.400 -4.116
Tb Tc B
2 2 28
Direct
0.376 0.126 0.250
0.624 0.874 0.750
0.000 0.000 0.500
0.000 0.500 0.000
0.008 0.130 0.878
0.030 0.206 0.332
0.030 0.698 0.824
0.087 0.670 0.417
0.203 0.535 0.667
0.225 0.500 0.402
0.225 0.823 0.725
0.247 0.330 0.917
0.248 0.870 0.378
0.368 0.535 0.833
0.373 0.206 0.676
0.373 0.698 0.168
0.402 0.177 0.902
0.402 0.500 0.225
0.598 0.500 0.775
0.598 0.823 0.098
0.627 0.302 0.832
0.627 0.794 0.324
0.632 0.465 0.167
0.752 0.130 0.622
0.753 0.670 0.083
0.775 0.177 0.275
0.775 0.500 0.598
0.797 0.465 0.333
0.913 0.330 0.583
0.970 0.302 0.176
0.970 0.794 0.668
0.992 0.870 0.122
```

Its space group is Imma, No. 74. For the total moment, the calculation gives 0.0 μB per formula unit. The calculation puts the calculated formation energy at -0.114 eV/atom.

## PmGeI5 (GGA-PBE)

Data for a geometry-optimized PmGeI5 structure.

POSCAR file:
```
PmGeI5
1.0
9.080 0.000 0.000
0.000 4.446 0.000
-1.471 0.000 15.181
Pm Ge I
2 2 10
Direct
0.104 0.250 0.150
0.896 0.750 0.850
0.390 0.750 0.387
0.610 0.250 0.613
0.105 0.250 0.790
0.162 0.250 0.372
0.184 0.750 0.011
0.368 0.750 0.570
0.435 0.250 0.191
0.565 0.750 0.809
0.632 0.250 0.430
0.816 0.250 0.989
0.838 0.750 0.628
0.895 0.750 0.210
```

Its space group is P2_1/m, No. 11. For the total moment, the calculation gives 0.0 μB per formula unit. The calculation puts the uncorrected formation energy at -0.887 eV per atom.

## KTmCuBr6 (GGA-PBE)

Data for a geometry-optimized KTmCuBr6 structure.

POSCAR file:
```
KTmCuBr6
1.0
6.851 0.000 0.000
-2.797 6.288 0.000
-0.457 -0.641 7.349
K Tm Cu Br
1 1 1 6
Direct
0.000 0.000 0.000
0.345 0.665 0.503
0.702 0.327 0.488
0.024 0.344 0.672
0.025 0.617 0.250
0.387 0.968 0.764
0.424 0.361 0.280
0.652 0.985 0.321
0.655 0.580 0.712
```

Its space group is P1, No. 1. For the total moment, the calculation gives 1.0 μB per formula unit. The calculation puts the uncorrected formation energy at -1.293 eV per atom.

## Tb12Ga6Os (GGA-PBE)

Data for a geometry-optimized Tb12Ga6Os structure.

POSCAR file:
```
Tb12Ga6Os
1.0
6.416 3.705 4.005
-6.416 3.705 4.005
0.000 -7.409 4.005
Tb Ga Os
12 6 1
Direct
0.038 0.930 0.683
0.070 0.317 0.962
0.182 0.569 0.430
0.317 0.962 0.070
0.430 0.182 0.569
0.431 0.570 0.818
0.569 0.430 0.182
0.570 0.818 0.431
0.683 0.038 0.930
0.818 0.431 0.570
0.930 0.683 0.038
0.962 0.070 0.317
0.136 0.303 0.623
0.303 0.623 0.136
0.377 0.864 0.697
0.623 0.136 0.303
0.697 0.377 0.864
0.864 0.697 0.377
0.000 0.000 0.000
```

Its space group is R-3, No. 148. For the total moment, the calculation gives 0.0 μB per formula unit. The calculation puts the calculated formation energy at -0.206 eV/atom.

Number 1: volume 9.61 A^3/atom. Number 2: volume 32.77 A^3/atom. Number 3: volume 12.79 A^3/atom. Number 4: volume 18.46 A^3/atom. Number 5: volume 36.27 A^3/atom. Number 6: volume 24.39 A^3/atom. Number 7: volume 23.86 A^3/atom. Number 8: volume 24.01 A^3/atom. Number 9: volume 28.90 A^3/atom. Number 10: volume 19.80 A^3/atom. Number 11: volume 30.72 A^3/atom. Number 12: volume 9.51 A^3/atom. Number 13: volume 33.79 A^3/atom. Number 14: volume 28.86 A^3/atom. Number 15: volume 22.27 A^3/atom. Number 16: volume 17.46 A^3/atom. Number 17: volume 8.17 A^3/atom. Number 18: volume 43.77 A^3/atom. Number 19: volume 35.18 A^3/atom. Number 20: volume 30.06 A^3/atom.